(A)
{
  "formula": "BeCdSe2",
  "functional": "GGA-PBE",
  "state": "relaxed",
  "lattice": [[-6.892, 1.277, -4.148], [-0.646, -3.888, -0.120], [-2.868, 0.326, 4.866]],
  "species": ["Be", "Be", "Se", "Se", "Se", "Se", "Cd", "Cd"],
  "frac_coords": [[0.243, 0.291, 0.549], [0.458, 0.791, 0.049], [0.002, 0.291, 0.736], [0.698, 0.793, 0.236], [0.441, 0.291, 0.830], [0.260, 0.791, 0.330], [0.999, 0.791, 0.047], [0.702, 0.293, 0.547]],
  "total_magnetization_mub_per_fu": 0.00
}

---

(B)
{
  "formula": "BeCdSe2",
  "functional": "GGA-PBE",
  "state": "relaxed",
  "lattice": [[0.854, -1.418, 4.478], [0.951, 3.229, 3.386], [-3.202, 0.874, 3.432]],
  "species": ["Be", "Se", "Se", "Cd"],
  "frac_coords": [[0.000, 0.000, 0.000], [0.250, 0.250, 0.250], [0.750, 0.750, 0.750], [0.500, 0.500, 0.500]],
  "total_magnetization_mub_per_fu": 0.00
}

---

(C)
{
  "formula": "BeCdSe2",
  "functional": "GGA-PBE",
  "state": "relaxed",
  "lattice": [[6.875, 0.000, -2.191], [3.192, 5.362, -4.123], [-3.192, 5.362, 4.123]],
  "species": ["Be", "Be", "Se", "Se", "Se", "Se", "Cd", "Cd"],
  "frac_coords": [[0.750, 0.251, 0.751], [0.250, 0.749, 0.249], [0.206, 0.069, 0.160], [0.294, 0.660, 0.569], [0.794, 0.931, 0.840], [0.706, 0.340, 0.431], [0.750, 0.947, 0.447], [0.250, 0.053, 0.553]],
  "total_magnetization_mub_per_fu": 0.00
}

---

(D)
{
  "formula": "BeCdSe2",
  "functional": "GGA-PBE",
  "state": "relaxed",
  "lattice": [[6.829, 0.000, 0.000], [0.000, 8.083, 0.000], [0.000, 0.000, 6.566]],
  "species": ["Be", "Be", "Be", "Be", "Se", "Se", "Se", "Se", "Se", "Se", "Se", "Se", "Cd", "Cd", "Cd", "Cd"],
  "frac_coords": [[0.071, 0.874, 0.000], [0.929, 0.126, 0.500], [0.429, 0.374, 0.500], [0.571, 0.626, 0.000], [0.389, 0.847, 0.094], [0.611, 0.153, 0.594], [0.111, 0.347, 0.594], [0.889, 0.653, 0.094], [0.053, 0.903, 0.657], [0.947, 0.097, 0.157], [0.447, 0.403, 0.157], [0.553, 0.597, 0.657], [0.089, 0.377, 0.999], [0.911, 0.623, 0.499], [0.411, 0.877, 0.499], [0.589, 0.123, 0.999]],
  "total_magnetization_mub_per_fu": 0.00
}

---

The calculated energies rank the structures as follows, beginning with the most stable: (D), (A), (C), (B).

---

(A)
{
  "formula": "BeCdSe3",
  "functional": "GGA-PBE",
  "state": "relaxed",
  "lattice": [[4.676, 0.000, 0.000], [0.000, 4.676, 0.000], [0.000, 0.000, 4.676]],
  "species": ["Be", "Se", "Se", "Se", "Cd"],
  "frac_coords": [[0.000, 0.000, 0.000], [0.000, 0.500, 0.000], [0.000, 0.000, 0.500], [0.500, 0.000, 0.000], [0.500, 0.500, 0.500]],
  "total_magnetization_mub_per_fu": 0.00
}

---

(B)
{
  "formula": "BeCdSe3",
  "functional": "GGA-PBE",
  "state": "relaxed",
  "lattice": [[-3.631, 0.841, 3.615], [1.357, -4.406, 2.389], [3.454, 2.616, 2.861]],
  "species": ["Be", "Se", "Se", "Se", "Cd"],
  "frac_coords": [[0.500, 0.500, 0.500], [0.000, 0.500, 0.000], [0.000, 0.000, 0.500], [0.500, 0.000, 0.000], [0.000, 0.000, 0.000]],
  "total_magnetization_mub_per_fu": 0.00
}

---

The calculated energies rank the structures as follows, beginning with the most stable: (A), (B).

---

(A)
{
  "formula": "BeCd2Si2",
  "functional": "GGA-PBE",
  "state": "relaxed",
  "lattice": [[-5.548, -1.934, -0.328], [0.645, -2.728, 5.174], [-1.637, 4.280, 2.461]],
  "species": ["Be", "Be", "Si", "Si", "Si", "Si", "Cd", "Cd", "Cd", "Cd"],
  "frac_coords": [[0.000, 0.000, 0.000], [0.500, 0.500, 0.000], [0.355, 0.855, 0.000], [0.855, 0.645, 0.000], [0.645, 0.145, 0.000], [0.145, 0.355, 0.000], [0.190, 0.690, 0.500], [0.690, 0.810, 0.500], [0.810, 0.310, 0.500], [0.310, 0.190, 0.500]],
  "total_magnetization_mub_per_fu": 0.00
}

---

(B)
{
  "formula": "BeCd2Si2",
  "functional": "GGA-PBE",
  "state": "relaxed",
  "lattice": [[4.302, 0.000, 0.000], [0.000, 4.302, 0.000], [2.151, 2.151, 5.495]],
  "species": ["Be", "Si", "Si", "Cd", "Cd"],
  "frac_coords": [[0.000, 0.000, 0.000], [0.398, 0.398, 0.204], [0.602, 0.602, 0.796], [0.750, 0.250, 0.500], [0.250, 0.750, 0.500]],
  "total_magnetization_mub_per_fu": 0.00
}

---

The calculated energies rank the structures as follows, beginning with the most stable: (A), (B).

---

(A)
{
  "formula": "Be3CdSi",
  "functional": "GGA-PBE",
  "state": "relaxed",
  "lattice": [[-1.205, -3.144, -2.648], [-2.587, -1.564, 3.034], [-3.194, 2.453, -1.459]],
  "species": ["Be", "Be", "Be", "Si", "Cd"],
  "frac_coords": [[0.000, 0.500, 0.000], [0.000, 0.000, 0.500], [0.500, 0.000, 0.000], [0.000, 0.000, 0.000], [0.500, 0.500, 0.500]],
  "total_magnetization_mub_per_fu": 0.00
}

---

(B)
{
  "formula": "Be3CdSi",
  "functional": "GGA-PBE",
  "state": "relaxed",
  "lattice": [[-1.726, 0.494, -4.030], [-0.948, -4.307, -0.122], [-3.948, 0.819, 1.792]],
  "species": ["Be", "Be", "Be", "Si", "Cd"],
  "frac_coords": [[0.000, 0.500, 0.000], [0.000, 0.000, 0.500], [0.500, 0.000, 0.000], [0.500, 0.500, 0.500], [0.000, 0.000, 0.000]],
  "total_magnetization_mub_per_fu": 0.00
}

---

The calculated energies rank the structures as follows, beginning with the most stable: (A), (B).

---

(A)
{
  "formula": "Sm2BeCd",
  "functional": "GGA-PBE",
  "state": "relaxed",
  "lattice": [[5.194, 0.000, 0.000], [2.597, 4.498, 0.000], [2.597, 1.499, 4.241]],
  "species": ["Be", "Sm", "Sm", "Cd"],
  "frac_coords": [[0.000, 0.000, 0.000], [0.250, 0.250, 0.250], [0.750, 0.750, 0.750], [0.500, 0.500, 0.500]],
  "total_magnetization_mub_per_fu": 0.01
}

---

(B)
{
  "formula": "Sm2BeCd",
  "functional": "GGA-PBE",
  "state": "relaxed",
  "lattice": [[-0.417, -1.239, -3.317], [-2.318, -2.429, 1.198], [-5.709, 4.900, -1.113]],
  "species": ["Be", "Sm", "Sm", "Cd"],
  "frac_coords": [[0.500, 0.500, 0.000], [0.000, 0.000, 0.782], [0.000, 0.000, 0.218], [0.500, 0.500, 0.500]],
  "total_magnetization_mub_per_fu": 0.00
}

---

(C)
{
  "formula": "Sm2BeCd",
  "functional": "GGA-PBE",
  "state": "relaxed",
  "lattice": [[3.379, 0.000, 0.000], [1.690, 2.926, 0.000], [1.690, 0.975, 11.227]],
  "species": ["Be", "Sm", "Sm", "Cd"],
  "frac_coords": [[0.000, 0.000, 0.000], [0.088, 0.088, 0.736], [0.912, 0.912, 0.264], [0.500, 0.500, 0.500]],
  "total_magnetization_mub_per_fu": 0.00
}

---

The calculated energies rank the structures as follows, beginning with the most stable: (B), (A), (C).